No. 1
Tb3Co2Si4 (GGA-PBE, optimized geometry); energy above the most stable polymorph in this dataset = 0 meV/atom; total DFT energy (no corrections) = -6.297 eV per atom; formation energy from raw total energies = -0.76 eV/atom
1.0
5.312 -2.015 0.000
5.312 2.015 0.000
-2.318 0.000 7.523
Tb Co Si
3 2 4
direct
0.000 0.000 0.000
0.385 0.385 0.308
0.615 0.615 0.692
0.306 0.306 0.632
0.694 0.694 0.368
0.108 0.108 0.403
0.282 0.282 0.920
0.718 0.718 0.080
0.892 0.892 0.597

---

No. 2
TbCo2Si2 (GGA-PBE, optimized geometry); total DFT energy (no corrections) = -6.761 eV per atom; formation energy from raw total energies = -0.82 eV/atom
1.0
-1.941 1.941 4.899
1.941 -1.941 4.899
1.941 1.941 -4.899
Tb Co Si
1 2 2
direct
0.000 0.000 0.000
0.250 0.750 0.500
0.750 0.250 0.500
0.371 0.371 0.000
0.629 0.629 0.000

---

No. 3
TbCo9Si4 (GGA-PBE, optimized geometry); total DFT energy (no corrections) = -6.937 eV per atom; formation energy from raw total energies = -0.49 eV/atom
1.0
-3.851 3.851 5.714
3.851 -3.851 5.714
3.851 3.851 -5.714
Tb Co Si
2 18 8
direct
0.250 0.250 0.000
0.750 0.750 0.000
0.000 0.500 0.500
0.049 0.549 0.238
0.070 0.802 0.872
0.188 0.951 0.500
0.198 0.070 0.269
0.302 0.570 0.872
0.312 0.812 0.762
0.430 0.302 0.731
0.451 0.688 0.500
0.500 0.000 0.500
0.549 0.312 0.500
0.570 0.698 0.269
0.688 0.188 0.238
0.698 0.430 0.128
0.802 0.930 0.731
0.812 0.049 0.500
0.930 0.198 0.128
0.951 0.451 0.762
0.046 0.210 0.500
0.210 0.710 0.163
0.290 0.454 0.500
0.454 0.954 0.163
0.546 0.046 0.837
0.710 0.546 0.500
0.790 0.290 0.837
0.954 0.790 0.500

---

No. 4
Tb3Co7Si2 (GGA-PBE, optimized geometry); total DFT energy (no corrections) = -6.644 eV per atom; formation energy from raw total energies = -0.44 eV/atom
1.0
2.584 1.492 7.509
-2.584 1.492 7.509
0.000 -2.984 7.509
Tb Co Si
3 7 2
direct
0.000 0.000 0.000
0.142 0.142 0.142
0.858 0.858 0.858
0.083 0.577 0.577
0.423 0.423 0.917
0.423 0.917 0.423
0.500 0.500 0.500
0.577 0.083 0.577
0.577 0.577 0.083
0.917 0.423 0.423
0.333 0.333 0.333
0.667 0.667 0.667

---

No. 5
Tb3Co2Si4 (GGA-PBE, optimized geometry); energy above the most stable polymorph in this dataset = 43 meV/atom; total DFT energy (no corrections) = -6.254 eV per atom; formation energy from raw total energies = -0.72 eV/atom
1.0
5.388 -1.960 0.000
5.388 1.960 0.000
-1.463 0.000 7.920
Tb Co Si
3 2 4
direct
0.000 0.000 0.000
0.334 0.334 0.341
0.666 0.666 0.659
0.393 0.393 0.723
0.607 0.607 0.277
0.056 0.056 0.380
0.281 0.281 0.932
0.719 0.719 0.068
0.944 0.944 0.620

---

No. 6
Tb2Co3Si5 (GGA-PBE, optimized geometry); total DFT energy (no corrections) = -6.544 eV per atom; formation energy from raw total energies = -0.78 eV/atom
1.0
5.391 -5.720 0.000
5.391 5.720 0.000
-2.649 0.000 4.835
Tb Co Si
4 6 10
direct
0.099 0.369 0.237
0.369 0.099 0.737
0.631 0.901 0.263
0.901 0.631 0.763
0.039 0.763 0.374
0.237 0.961 0.126
0.496 0.504 0.250
0.504 0.496 0.750
0.763 0.039 0.874
0.961 0.237 0.626
0.011 0.989 0.750
0.238 0.437 0.835
0.270 0.730 0.750
0.285 0.715 0.250
0.437 0.238 0.335
0.563 0.762 0.665
0.715 0.285 0.750
0.730 0.270 0.250
0.762 0.563 0.165
0.989 0.011 0.250